Entry 1:
DFT (PBE) results for a relaxed Cs2ScTlO4 crystal.

Cell: 12.818 11.300 7.283 Å, 84.27 61.31 34.43°
Element x y z (fractional)
Cs 0.052 0.052 0.698
Cs 0.302 0.302 0.948
Cs 0.698 0.698 0.052
Cs 0.948 0.948 0.302
Sc 0.125 0.125 0.125
Sc 0.875 0.875 0.875
Tl 0.375 0.375 0.375
Tl 0.625 0.625 0.625
O 0.034 0.310 0.386
O 0.230 0.614 0.690
O 0.310 0.034 0.770
O 0.386 0.770 0.034
O 0.614 0.230 0.966
O 0.690 0.966 0.230
O 0.770 0.386 0.310
O 0.966 0.690 0.614

Properties
Fermi-level density of states ... 0.000 states/eV/atom
Crystal system ... orthorhombic
Calculated density ... 4.6 Mg/m³
Formation energy from raw total energies ... -1.665 eV per atom


Entry 2:
DFT (PBE) results for a relaxed SrTbSb2 crystal.

Cell: 8.276 8.276 8.276 Å, 31.23 31.23 31.23°
Element x y z (fractional)
Sr 0.000 0.000 0.000
Tb 0.500 0.500 0.500
Sb 0.242 0.242 0.242
Sb 0.758 0.758 0.758

Properties
Fermi-level density of states ... 0.653 states/eV/atom
Crystal system ... trigonal
Offset from the most stable computed form ... 0.000 eV/atom
Calculated density ... 6.0 Mg/m³
Formation energy from raw total energies ... -0.952 eV per atom


Entry 3:
DFT (PBE) results for a relaxed BaCaIn2Ag2 crystal.

Cell: 4.978 4.978 8.112 Å, 90.00 90.00 120.00°
Element x y z (fractional)
Ba 0.000 0.000 0.000
Ca 0.000 0.000 0.500
In 0.333 0.667 0.299
In 0.667 0.333 0.701
Ag 0.333 0.667 0.691
Ag 0.667 0.333 0.309

Properties
Fermi-level density of states ... 0.863 states/eV/atom
Crystal system ... trigonal
Calculated total energy ... -17.3 eV/cell
Calculated density ... 5.9 Mg/m³


Entry 4:
DFT (PBE) results for a relaxed NaCaPa4N8 crystal.

Cell: 6.655 6.655 6.655 Å, 64.56 64.56 64.56°
Element x y z (fractional)
Na 0.000 0.000 0.000
Ca 0.373 0.373 0.373
Pa 0.493 0.996 0.996
Pa 0.592 0.592 0.592
Pa 0.996 0.493 0.996
Pa 0.996 0.996 0.493
N 0.223 0.750 0.750
N 0.227 0.227 0.227
N 0.277 0.277 0.782
N 0.277 0.782 0.277
N 0.746 0.746 0.746
N 0.750 0.223 0.750
N 0.750 0.750 0.223
N 0.782 0.277 0.277

Properties
Fermi-level density of states ... 0.582 states/eV/atom
Crystal system ... trigonal
Calculated density ... 8.0 Mg/m³
Formation energy from raw total energies ... -1.248 eV per atom


Entry 5:
DFT (PBE) results for a relaxed Sr6HPb2 crystal.

Cell: 7.613 8.044 13.275 Å, 90.00 124.91 90.00°
Element x y z (fractional)
Sr 0.154 0.199 0.458
Sr 0.154 0.301 0.958
Sr 0.261 0.698 0.458
Sr 0.261 0.802 0.958
Sr 0.332 0.013 0.250
Sr 0.332 0.487 0.750
Sr 0.668 0.513 0.250
Sr 0.668 0.987 0.750
Sr 0.739 0.198 0.042
Sr 0.739 0.302 0.542
Sr 0.846 0.699 0.042
Sr 0.846 0.801 0.542
H 0.000 0.000 0.000
H 0.000 0.500 0.500
Pb 0.229 0.069 0.750
Pb 0.229 0.431 0.250
Pb 0.771 0.569 0.750
Pb 0.771 0.931 0.250

Properties
Fermi-level density of states ... 0.357 states/eV/atom
Crystal system ... monoclinic
Calculated total energy ... -48.7 eV/cell
Calculated density ... 4.7 Mg/m³


Entry 6:
DFT (PBE) results for a relaxed Na2LaBr2 crystal.

Cell: 6.758 6.758 6.758 Å, 135.48 135.48 64.78°
Element x y z (fractional)
Na 0.132 0.132 0.000
Na 0.868 0.868 0.000
La 0.500 0.500 0.000
Br 0.250 0.750 0.500
Br 0.750 0.250 0.500

Properties
Fermi-level density of states ... 0.865 states/eV/atom
Crystal system ... tetragonal
Offset from the most stable computed form ... 0.000 eV/atom
Calculated density ... 3.8 Mg/m³
Formation energy from raw total energies ... -0.716 eV per atom


Entry 7:
DFT (PBE) results for a relaxed Cu2SiOs crystal.

Cell: 4.812 4.812 4.812 Å, 137.02 137.02 62.40°
Element x y z (fractional)
Cu 0.250 0.750 0.500
Cu 0.750 0.250 0.500
Si 0.000 0.000 0.000
Os 0.500 0.500 0.000

Properties
Fermi-level density of states ... 1.075 states/eV/atom
Crystal system ... tetragonal
Calculated density ... 11.2 Mg/m³
Formation energy from raw total energies ... 0.182 eV per atom


In the order shown, the computed spin magnetization values come out to 0.00 0.00 0.00 0.00 0.00 0.05 0.19 μB per cell.